DFT (PBE) results for Fe2Sb after structural relaxation.

a = 3.0978 Å, b = 3.0978 Å, c = 5.9166 Å
α = 90.00°, β = 90.00°, γ = 120.00°
Closest atoms and distances in Å follow each position.
Element x y z (fractional)
Fe 0.6667 0.3333 0.6378  3 Fe 2.42
Fe 0.3333 0.6667 0.3622  3 Fe 2.42
Sb 0.0000 0.0000 0.0000  6 Fe 2.79, 6 Sb 3.10

Summary:
ρ = 7.884 g cm⁻³
final energy = -6.5956 eV/atom
calculated volume = 16.39 Å³/atom
M_tot = 4.997 μB per formula unit
formation energy without anion corrections = 40.55 kJ/mol of atoms

=====

DFT (PBE) results for Ce2ErZnC after structural relaxation.

a = 4.9005 Å, b = 4.9005 Å, c = 4.8566 Å
α = 90.00°, β = 90.00°, γ = 90.00°
Closest atoms and distances in Å follow each position.
Element x y z (fractional)
Ce 0.0000 0.5000 0.9999  2 C 2.45
Ce 0.5000 0.0000 0.0002  2 C 2.45
Er 0.0000 0.0000 0.5000  2 C 2.43
Zn 0.5000 0.5000 0.5000  8 Ce 3.45, 4 Er 3.47
C 0.0000 0.0000 0.9999  2 Er 2.43, 4 Ce 2.45

Summary:
ΔE_f = -0.15 eV per atom
ρ = 7.473 g cm⁻³
final energy = -5.5342 eV/atom
calculated volume = 23.33 Å³/atom
M_tot = 0.682 μB per formula unit

=====

DFT (PBE) results for PmSm6Er2Th3 after structural relaxation.

a = 6.2274 Å, b = 6.2274 Å, c = 11.9374 Å
α = 95.00°, β = 95.00°, γ = 119.95°
Closest atoms and distances in Å follow each position.
Element x y z (fractional)
Pm 0.0000 0.0000 0.0000  6 Er 3.59-3.60, 6 Sm 3.64
Sm 0.9154 0.5815 0.7462  3 Th 3.56, 6 Sm 3.59-3.60, 2 Er 3.63, 1 Pm 3.64
Sm 0.7505 0.7505 0.2538  3 Th 3.56, 6 Sm 3.59-3.60, 2 Er 3.63, 1 Pm 3.64
Sm 0.0846 0.4185 0.2538  3 Th 3.56, 6 Sm 3.59-3.60, 2 Er 3.63, 1 Pm 3.64
Sm 0.5815 0.9154 0.7462  3 Th 3.56, 6 Sm 3.59-3.60, 2 Er 3.63, 1 Pm 3.64
Sm 0.2495 0.2495 0.7462  3 Th 3.56, 6 Sm 3.59-3.60, 2 Er 3.63, 1 Pm 3.64
Sm 0.4185 0.0846 0.2538  3 Th 3.56, 6 Sm 3.59-3.60, 2 Er 3.63, 1 Pm 3.64
Er 0.3332 0.6667 0.0000  3 Pm 3.59-3.60, 3 Er 3.60, 6 Sm 3.63
Er 0.6667 0.3332 0.0000  3 Pm 3.59-3.60, 3 Er 3.60, 6 Sm 3.63
Th 0.1665 0.8335 0.5000  6 Sm 3.56, 6 Th 3.59-3.60
Th 0.8335 0.1665 0.5000  6 Sm 3.56, 6 Th 3.59-3.60
Th 0.5000 0.5000 0.5000  6 Sm 3.56, 6 Th 3.60

Summary:
ΔE_f = 0.03 eV per atom
ρ = 8.735 g cm⁻³
final energy = -5.3371 eV/atom
calculated volume = 32.92 Å³/atom
M_tot = 0.001 μB per formula unit

=====

DFT (PBE) results for PaBe2Ge after structural relaxation.

a = 3.8649 Å, b = 3.8649 Å, c = 5.2409 Å
α = 68.36°, β = 68.36°, γ = 60.00°
Closest atoms and distances in Å follow each position.
Element x y z (fractional)
Be 0.2928 0.2928 0.1216  3 Ge 2.30, 3 Be 2.51
Be 0.7072 0.7072 0.8784  3 Ge 2.30, 3 Be 2.51
Ge 0.0000 0.0000 0.0000  6 Be 2.30
Pa 0.5000 0.5000 0.5000  8 Be 2.86-2.95

Summary:
ΔE_f = -0.05 eV per atom
ρ = 8.708 g cm⁻³
final energy = -5.4383 eV/atom
calculated volume = 15.34 Å³/atom
M_tot = 0.000 μB per formula unit

=====

DFT (PBE) results for RbY2MnSe after structural relaxation.

a = 5.1874 Å, b = 5.8423 Å, c = 5.1874 Å
α = 90.00°, β = 90.00°, γ = 90.00°
Closest atoms and distances in Å follow each position.
Element x y z (fractional)
Y 0.0000 0.0000 0.5000  2 Mn 2.59
Y 0.5000 0.0000 0.0000  2 Mn 2.59
Mn 0.0000 0.0000 0.0000  4 Y 2.59
Se 0.5000 0.5000 0.5000  4 Rb 3.67, 8 Y 3.91
Rb 0.0000 0.5000 0.0000  2 Mn 2.92

Summary:
ρ = 4.195 g cm⁻³
final energy = -4.9747 eV/atom
calculated volume = 31.44 Å³/atom
M_tot = 1.685 μB per formula unit
formation energy without anion corrections = 32.35 kJ/mol of atoms

=====

DFT (PBE) results for K2CeI4Cl2 after structural relaxation.

a = 8.2867 Å, b = 8.5049 Å, c = 8.5049 Å
α = 59.68°, β = 56.18°, γ = 56.18°
Closest atoms and distances in Å follow each position.
Element x y z (fractional)
K 0.2308 0.7726 0.7726  1 Cl 3.15
K 0.7692 0.2274 0.2274  1 Cl 3.15
Ce 0.5000 0.0000 0.0000  2 Cl 2.62
I 0.3051 0.6970 0.2008  1 Ce 3.05
I 0.6949 0.7992 0.3030  1 Ce 3.05
I 0.6949 0.3030 0.7992  1 Ce 3.05
I 0.3051 0.2008 0.6970  1 Ce 3.05
Cl 0.1562 0.2217 0.2217  1 Ce 2.62
Cl 0.8438 0.7783 0.7783  1 Ce 2.62

Summary:
ρ = 3.334 g cm⁻³
final energy = -3.5313 eV/atom
calculated volume = 44.09 Å³/atom
M_tot = 0.000 μB per formula unit
formation energy without anion corrections = -147.51 kJ/mol of atoms

=====

What did the fourth record say?
DFT (PBE) results for PaBe2Ge after structural relaxation.

a = 3.8649 Å, b = 3.8649 Å, c = 5.2409 Å
α = 68.36°, β = 68.36°, γ = 60.00°
Closest atoms and distances in Å follow each position.
Element x y z (fractional)
Be 0.2928 0.2928 0.1216  3 Ge 2.30, 3 Be 2.51
Be 0.7072 0.7072 0.8784  3 Ge 2.30, 3 Be 2.51
Ge 0.0000 0.0000 0.0000  6 Be 2.30
Pa 0.5000 0.5000 0.5000  8 Be 2.86-2.95

Summary:
ΔE_f = -0.05 eV per atom
ρ = 8.708 g cm⁻³
final energy = -5.4383 eV/atom
calculated volume = 15.34 Å³/atom
M_tot = 0.000 μB per formula unit